# 1
Nb2Ni3W4C3: optimized geometry, PBE.

```
24
Lattice="-2.9226 1.2767 -4.1596 -0.1444 -3.1520 -4.1855 -8.9849 -5.6828 7.9639" Properties=species:S:1:pos:R:3 pbc="T T T"
C -1.4613 0.6384 -2.0798
C -2.4429 -0.0323 -4.8292
C -6.4417 -2.5718 0.4783
C -4.5646 -4.4174 1.8892
C -5.6102 -4.9862 -0.8596
C -9.6090 -7.5257 4.4479
Nb -2.7272 -1.1904 -2.8737
Nb -5.2856 -2.8034 -1.4852
Nb -6.7663 -4.7546 1.1040
Nb -9.3246 -6.3676 2.4925
Ni -2.5959 -2.5714 -0.1889
Ni -2.5925 -4.2508 -2.1926
Ni -4.1136 -3.5001 -4.1822
Ni -7.9383 -4.0579 3.8010
Ni -9.4593 -3.3073 1.8114
Ni -9.4560 -4.9867 -0.1924
W -3.3774 -1.5932 -5.7810
W -1.3775 -0.2935 -0.2426
W -6.6943 -3.6063 -4.1158
W -4.6247 -2.4177 1.4219
W -7.4271 -5.1404 -1.8032
W -5.3575 -3.9518 3.7346
W -10.6744 -7.2645 -0.1387
W -8.6745 -5.9649 5.3997
```

Output
crystal system	monoclinic
uncorrected energy	-9.759	eV/atom
symmetry	C2/c (15)

=====

# 2
TbCuAsP: optimized geometry, PBE.

```
8
Lattice="-3.7969 0.4239 -0.2687 -0.1498 -2.9144 -2.4804 -1.2276 -6.2745 7.4467" Properties=species:S:1:pos:R:3 pbc="T T T"
As 0.0000 0.0000 0.0000
As -1.9734 -1.2453 -1.3746
Cu -0.6138 -3.1373 3.7233
Cu -2.5871 -4.3825 2.3488
P -0.5022 -3.6415 1.3521
P -2.6987 -3.8783 4.7200
Tb -2.1968 -1.3131 1.6756
Tb -1.0041 -6.2067 4.3965
```

Output
crystal system	tetragonal
distance to the lowest polymorph of the same formula	0.000	eV per atom
symmetry	P4/nmm (129)

=====

It is found that the calculated density values, taken in the order of the records, are 12.27 7.57 Mg/m³.